one) Here is a relaxed MgSiSb2Te crystal from Alexandria. Energies are from PBE-GGA.

Calculated values
**Spin magnetization**: 0.0 μB/cell
**Crystal system**: tetragonal

Cell and atoms, written as extended XYZ:
```
5
Lattice="5.2928 0.0000 0.0000 0.0000 5.2928 0.0000 0.0000 0.0000 5.4881" Properties=species:S:1:pos:R:3 pbc="T T T"
Mg 0.0000 0.0000 0.0000
Si 2.6464 2.6464 2.7441
Sb 0.0000 2.6464 0.0000
Sb 2.6464 0.0000 0.0000
Te 0.0000 0.0000 2.7441
```



two) Here is a relaxed MgSiSb2Te crystal from Alexandria. Energies are from PBE-GGA.

Calculated values
**Spin magnetization**: 0.0 μB/cell
**Crystal system**: tetragonal

Cell and atoms, written as extended XYZ:
```
5
Lattice="5.2502 0.0000 0.0000 0.0000 5.2502 0.0000 0.0000 0.0000 5.2906" Properties=species:S:1:pos:R:3 pbc="T T T"
Mg 0.0000 0.0000 0.0000
Si 2.6251 2.6251 2.6453
Sb 0.0000 2.6251 2.6453
Sb 2.6251 0.0000 2.6453
Te 2.6251 2.6251 0.0000
```



List of relative energies, unit meV per atom: one) 355; two) 0



one) Here is a relaxed MgSiSbTe2 crystal from Alexandria. Energies are from PBE-GGA.

Calculated values
**Spin magnetization**: 0.0 μB/cell
**Crystal system**: tetragonal

Cell and atoms, written as extended XYZ:
```
5
Lattice="5.4220 0.0000 0.0000 0.0000 5.4220 0.0000 0.0000 0.0000 5.3022" Properties=species:S:1:pos:R:3 pbc="T T T"
Mg 0.0000 0.0000 0.0000
Si 2.7110 2.7110 2.6511
Sb 0.0000 0.0000 2.6511
Te 0.0000 2.7110 0.0000
Te 2.7110 0.0000 0.0000
```



two) Here is a relaxed MgSiSbTe2 crystal from Alexandria. Energies are from PBE-GGA.

Calculated values
**Spin magnetization**: 0.0 μB/cell
**Crystal system**: tetragonal

Cell and atoms, written as extended XYZ:
```
5
Lattice="5.2611 0.0000 0.0000 0.0000 5.2611 0.0000 0.0000 0.0000 5.3242" Properties=species:S:1:pos:R:3 pbc="T T T"
Mg 0.0000 0.0000 0.0000
Si 2.6306 2.6306 2.6621
Sb 2.6306 2.6306 0.0000
Te 0.0000 2.6306 2.6621
Te 2.6306 0.0000 2.6621
```



List of relative energies, unit meV per atom: one) 338; two) 0



one) Here is a relaxed SmMgSb2 crystal from Alexandria. Energies are from PBE-GGA.

Calculated values
**Spin magnetization**: 0.0 μB/cell
**Crystal system**: tetragonal

Cell and atoms, written as extended XYZ:
```
4
Lattice="5.0166 0.0000 0.0000 0.0000 5.0166 0.0000 0.0000 0.0000 4.1723" Properties=species:S:1:pos:R:3 pbc="T T T"
Sm 0.0000 0.0000 0.0000
Mg 2.5083 2.5083 0.0000
Sb 0.0000 2.5083 2.0861
Sb 2.5083 0.0000 2.0861
```



two) Here is a relaxed SmMgSb2 crystal from Alexandria. Energies are from PBE-GGA.

Calculated values
**Spin magnetization**: 0.0 μB/cell
**Crystal system**: tetragonal

Cell and atoms, written as extended XYZ:
```
8
Lattice="4.4131 0.0000 0.0000 0.0000 4.4131 0.0000 0.0000 0.0000 10.9818" Properties=species:S:1:pos:R:3 pbc="T T T"
Sm 1.1033 1.1033 2.3933
Sm 3.3098 3.3098 8.5885
Mg 1.1033 3.3098 5.4909
Mg 3.3098 1.1033 5.4909
Sb 1.1033 1.1033 7.4473
Sb 1.1033 3.3098 0.0000
Sb 3.3098 1.1033 0.0000
Sb 3.3098 3.3098 3.5345
```



List of relative energies, unit meV per atom: one) 96; two) 0



one) Here is a relaxed SmMgSb2 crystal from Alexandria. Energies are from PBE-GGA.

Calculated values
**Spin magnetization**: 0.0 μB/cell
**Crystal system**: trigonal

Cell and atoms, written as extended XYZ:
```
4
Lattice="2.2493 1.2986 6.7664 -2.2493 1.2986 6.7664 0.0000 -2.5973 6.7664" Properties=species:S:1:pos:R:3 pbc="T T T"
Sm 0.0000 0.0000 0.0000
Mg 0.0000 0.0000 16.8010
Sb 0.0000 0.0000 8.5387
Sb 0.0000 0.0000 11.7394
```



two) Here is a relaxed SmMgSb2 crystal from Alexandria. Energies are from PBE-GGA.

Calculated values
**Spin magnetization**: 0.0 μB/cell
**Crystal system**: trigonal

Cell and atoms, written as extended XYZ:
```
4
Lattice="2.2185 1.2809 6.8967 -2.2185 1.2809 6.8967 0.0000 -2.5617 6.8967" Properties=species:S:1:pos:R:3 pbc="T T T"
Sm 0.0000 0.0000 0.0000
Mg 0.0000 0.0000 10.3450
Sb 0.0000 0.0000 5.0601
Sb 0.0000 0.0000 15.6299
```



List of relative energies, unit meV per atom: one) 0; two) 33



one) Here is a relaxed MgSn2Sb2 crystal from Alexandria. Energies are from PBE-GGA.

Calculated values
**Spin magnetization**: 0.0 μB/cell
**Crystal system**: tetragonal

Cell and atoms, written as extended XYZ:
```
10
Lattice="8.4427 0.0000 0.0000 0.0000 8.4427 0.0000 0.0000 0.0000 3.9445" Properties=species:S:1:pos:R:3 pbc="T T T"
Mg 0.0000 0.0000 0.0000
Mg 4.2213 4.2213 0.0000
Sn 1.1837 3.0377 0.0000
Sn 3.0377 7.2590 0.0000
Sn 5.4050 1.1837 0.0000
Sn 7.2590 5.4050 0.0000
Sb 1.3524 5.5738 1.9723
Sb 2.8689 1.3524 1.9723
Sb 5.5738 7.0902 1.9723
Sb 7.0902 2.8689 1.9723
```



two) Here is a relaxed MgSn2Sb2 crystal from Alexandria. Energies are from PBE-GGA.

Calculated values
**Spin magnetization**: 0.0 μB/cell
**Crystal system**: tetragonal

Cell and atoms, written as extended XYZ:
```
10
Lattice="8.2619 0.0000 0.0000 0.0000 8.2619 0.0000 0.0000 0.0000 4.1708" Properties=species:S:1:pos:R:3 pbc="T T T"
Mg 0.0000 0.0000 0.0000
Mg 4.1309 4.1309 0.0000
Sn 1.1703 2.9606 2.0854
Sn 2.9606 7.0915 2.0854
Sn 5.3013 1.1703 2.0854
Sn 7.0915 5.3013 2.0854
Sb 1.3930 5.5239 0.0000
Sb 2.7379 1.3930 0.0000
Sb 5.5239 6.8689 0.0000
Sb 6.8689 2.7379 0.0000
```



three) Here is a relaxed MgSn2Sb2 crystal from Alexandria. Energies are from PBE-GGA.

Calculated values
**Spin magnetization**: 0.0 μB/cell
**Crystal system**: tetragonal

Cell and atoms, written as extended XYZ:
```
5
Lattice="-2.2079 2.2079 7.7595 2.2079 -2.2079 7.7595 2.2079 2.2079 -7.7595" Properties=species:S:1:pos:R:3 pbc="T T T"
Mg 0.0000 0.0000 0.0000
Sn 0.0000 0.0000 6.2691
Sn 0.0000 0.0000 9.2499
Sb 2.2079 0.0000 3.8798
Sb 0.0000 2.2079 3.8798
```



List of relative energies, unit meV per atom: one) 57; two) 0; three) 158



one) Here is a relaxed Mg2Sn2Sb crystal from Alexandria. Energies are from PBE-GGA.

Calculated values
**Spin magnetization**: 0.0 μB/cell
**Crystal system**: tetragonal

Cell and atoms, written as extended XYZ:
```
5
Lattice="-2.3876 2.3876 6.0149 2.3876 -2.3876 6.0149 2.3876 2.3876 -6.0149" Properties=species:S:1:pos:R:3 pbc="T T T"
Mg 2.3876 0.0000 3.0075
Mg 0.0000 2.3876 3.0075
Sn 0.0000 0.0000 1.3628
Sn 0.0000 0.0000 10.6670
Sb 0.0000 0.0000 6.0149
```



two) Here is a relaxed Mg2Sn2Sb crystal from Alexandria. Energies are from PBE-GGA.

Calculated values
**Spin magnetization**: 0.0 μB/cell
**Crystal system**: tetragonal

Cell and atoms, written as extended XYZ:
```
10
Lattice="8.9692 0.0000 0.0000 0.0000 8.9692 0.0000 0.0000 0.0000 3.1775" Properties=species:S:1:pos:R:3 pbc="T T T"
Mg 1.1981 3.2865 0.0000
Mg 3.2865 7.7711 0.0000
Mg 5.6827 1.1981 0.0000
Mg 7.7711 5.6827 0.0000
Sn 1.4814 5.9660 1.5888
Sn 3.0032 1.4814 1.5888
Sn 5.9660 7.4878 1.5888
Sn 7.4878 3.0032 1.5888
Sb 0.0000 0.0000 1.5888
Sb 4.4846 4.4846 1.5888
```



List of relative energies, unit meV per atom: one) 161; two) 0